A plane-wave DFT calculation with GGA-PBE was carried out for a geometry-optimized YPaTe2O8 structure.

It has space group I-4m2 (No. 119), with a = 7.237 Å, b = 7.237 Å, c = 7.218 Å, α = 90.00°, β = 90.00° and γ = 90.00°. Symmetry generates all atoms from Y at (0.000, 0.000, 0.000), Pa at (0.000, 0.500, 0.250), Te at (0.000, 0.000, 0.500), Te at (0.000, 0.500, 0.750), O at (0.000, 0.195, 0.296) and O at (0.000, 0.315, 0.964).

As for the spin magnetization: 0.00 Bohr magnetons per cell. For the formation energy from raw total energies, the calculation gives -2084.8 meV/atom.

A plane-wave DFT calculation with GGA-PBE was carried out for a geometry-optimized Zn2Pt3Rh3 structure.

It has space group Pmmm (No. 47), with a = 3.837 Å, b = 3.881 Å, c = 7.873 Å, α = 90.00°, β = 90.00° and γ = 90.00°. Symmetry generates all atoms from Zn at (0.000, 0.000, 0.248), Pt at (0.000, 0.500, 0.000), Pt at (0.000, 0.500, 0.500), Pt at (0.500, 0.000, 0.500), Rh at (0.500, 0.000, 0.000) and Rh at (0.500, 0.500, 0.247).

As for the spin magnetization: 0.00 Bohr magnetons per cell. The formation energy comes out at -0.2385 eV/atom.

A plane-wave DFT calculation with GGA-PBE was carried out for a geometry-optimized K2Cd3SnHg4 structure.

It has space group P-4m2 (No. 115), with a = 5.093 Å, b = 5.093 Å, c = 11.827 Å, α = 90.00°, β = 90.00° and γ = 90.00°. Symmetry generates all atoms from K at (0.000, 0.500, 0.249), Cd at (0.000, 0.000, 0.000), Cd at (0.000, 0.500, 0.629), Sn at (0.500, 0.500, 0.000), Hg at (0.000, 0.000, 0.500), Hg at (0.000, 0.500, 0.869) and Hg at (0.500, 0.500, 0.500).

As for the spin magnetization: 0.00 Bohr magnetons per cell. The formation energy comes out at -0.1366 eV/atom.

A plane-wave DFT calculation with GGA-PBE was carried out for a geometry-optimized Pm3HoPb2C structure.

It has space group Immm (No. 71), with a = 4.852 Å, b = 4.976 Å, c = 16.563 Å, α = 90.00°, β = 90.00° and γ = 90.00°. Symmetry generates all atoms from Pm at (0.000, 0.000, 0.000), Pm at (0.000, 0.500, 0.159), Ho at (0.000, 0.000, 0.500), Pb at (0.000, 0.500, 0.360) and C at (0.000, 0.500, 0.000).

As for the spin magnetization: 0.00 Bohr magnetons per cell. The formation energy comes out at -0.5223 eV/atom.